Density functional theory data (PBE-GGA) for crystalline Hf6In3As at its relaxed geometry.

Results
Formation enthalpy at 0 K in eV per atom: -0.0911
Density of states at the Fermi level in states/eV/cell: 11.364

Unit cell a=6.642 b=7.635 c=11.045 alpha=90.00 beta=125.17 gamma=90.00
Space group P2_1/c (No. 14)
Unique sites:
Hf: 0.002 0.063 0.239 (multiplicity 4)
Hf: 0.168 0.679 0.059 (multiplicity 4)
Hf: 0.416 0.145 0.052 (multiplicity 4)
In: 0.337 0.154 0.747 (multiplicity 4)
In: 0.500 0.000 0.500 (multiplicity 2)
As: 0.000 0.000 0.000 (multiplicity 2)

---

Density functional theory data (PBE-GGA) for crystalline V6Si5 at its relaxed geometry.

Results
E above lowest polymorph in eV/atom: 0.087
Formation energy without anion corrections in eV per atom: -0.458
Density of states at the Fermi level in states/eV/cell: 26.887

Unit cell a=4.941 b=8.039 c=14.888 alpha=90.00 beta=90.00 gamma=90.00
Space group Immm (No. 71)
Unique sites:
V: 0.000 0.000 0.151 (multiplicity 4)
V: 0.000 0.281 0.412 (multiplicity 8)
V: 0.247 0.000 0.500 (multiplicity 4)
V: 0.250 0.250 0.250 (multiplicity 8)
Si: 0.000 0.000 0.333 (multiplicity 4)
Si: 0.000 0.308 0.104 (multiplicity 8)
Si: 0.000 0.500 0.287 (multiplicity 4)
Si: 0.242 0.000 0.000 (multiplicity 4)

---

Density functional theory data (PBE-GGA) for crystalline RbTl2PbCl8 at its relaxed geometry.

Results
Formation energy without anion corrections in eV per atom: -0.953
Density of states at the Fermi level in states/eV/cell: 22.735

Unit cell a=7.0291 b=7.0291 c=29.0692 alpha=90.00 beta=90.00 gamma=120.00
Space group R-3 (No. 148, hexagonal axes)
Unique sites:
Rb: 0.0000 0.0000 0.0000 (multiplicity 3)
Tl: 0.0000 0.0000 0.2493 (multiplicity 6)
Pb: 0.0000 0.0000 0.5000 (multiplicity 3)
Cl: 0.0000 0.0000 0.3361 (multiplicity 6)
Cl: 0.0111 0.3096 0.1089 (multiplicity 18)

---

Density functional theory data (PBE-GGA) for crystalline Pr3VB2N6 at its relaxed geometry.

Results
Formation energy without anion corrections in eV per atom: -1.035
Density of states at the Fermi level in states/eV/cell: 4.231

Unit cell a=5.4194 b=5.4194 c=6.2366 alpha=90.00 beta=90.00 gamma=120.00
Space group P-3m1 (No. 164)
Unique sites:
Pr: 0.0000 0.0000 0.0000 (multiplicity 1)
Pr: 0.3333 0.6667 0.6673 (multiplicity 2)
V: 0.0000 0.0000 0.5000 (multiplicity 1)
B: 0.3333 0.6667 0.2664 (multiplicity 2)
N: 0.1784 0.3568 0.2959 (multiplicity 6)